No. 1
Here is a relaxed structure of CePmTcHg from Alexandria. Energies are from GGA-PBE.

```
CePmTcHg
1.0
7.2801 0.0000 0.0000
0.0000 7.2801 0.0000
0.0000 0.0000 7.2801
Ce Pm Tc Hg
4 4 4 4
direct
0.0000 0.0000 0.0000
0.0000 0.5000 0.5000
0.5000 0.0000 0.5000
0.5000 0.5000 0.0000
0.0000 0.0000 0.5000
0.0000 0.5000 0.0000
0.5000 0.0000 0.0000
0.5000 0.5000 0.5000
0.2500 0.2500 0.2500
0.2500 0.7500 0.7500
0.7500 0.2500 0.7500
0.7500 0.7500 0.2500
0.2500 0.2500 0.7500
0.2500 0.7500 0.2500
0.7500 0.2500 0.2500
0.7500 0.7500 0.7500
```

Values from the calculation:
- ΔE_f: -0.048 eV/atom
- Volume: 24.115 A^3/atom

***

No. 2
Here is a relaxed structure of Zr3PW from Alexandria. Energies are from GGA-PBE.

```
Zr3PW
1.0
4.8025 0.0000 0.0000
0.0000 4.8025 0.0000
0.0000 0.0000 4.8025
Zr P W
3 1 1
direct
0.0000 0.0000 0.5000
0.0000 0.5000 0.0000
0.5000 0.0000 0.0000
0.0000 0.0000 0.0000
0.5000 0.5000 0.5000
```

Values from the calculation:
- ΔE_f: 0.183 eV/atom
- Volume: 22.154 A^3/atom

***

No. 3
Here is a relaxed structure of HoZrIrO6 from Alexandria. Energies are from GGA-PBE.

```
HoZrIrO6
1.0
5.3183 0.0000 0.0000
-2.6591 4.6058 0.0000
0.0000 0.0000 9.7893
Ho Zr Ir O
2 2 2 12
direct
0.0000 0.0000 0.0000
0.0000 0.0000 0.5000
0.3333 0.6667 0.2500
0.6667 0.3333 0.7500
0.3333 0.6667 0.7500
0.6667 0.3333 0.2500
0.0185 0.3582 0.6363
0.0185 0.6603 0.8637
0.3397 0.3582 0.8637
0.3397 0.9815 0.6363
0.3582 0.0185 0.1363
0.3582 0.3397 0.3637
0.6418 0.6603 0.6363
0.6418 0.9815 0.8637
0.6603 0.0185 0.3637
0.6603 0.6418 0.1363
0.9815 0.3397 0.1363
0.9815 0.6418 0.3637
```

Values from the calculation:
- Formation energy from raw total energies: -2304 meV/atom
- Volume: 13.322 A^3/atom

***

No. 4
Here is a relaxed structure of Na2TlGa2 from Alexandria. Energies are from GGA-PBE.

```
Na2TlGa2
1.0
8.4541 0.0000 0.0000
0.0000 8.4541 0.0000
0.0000 0.0000 3.5261
Na Tl Ga
4 2 4
direct
0.1331 0.3669 0.0000
0.3669 0.8669 0.0000
0.6331 0.1331 0.0000
0.8669 0.6331 0.0000
0.0000 0.0000 0.0000
0.5000 0.5000 0.0000
0.1660 0.6660 0.5000
0.3340 0.1660 0.5000
0.6660 0.8340 0.5000
0.8340 0.3340 0.5000
```

Values from the calculation:
- ΔE_f: 0.091 eV/atom
- Volume: 25.202 A^3/atom